(1)
Compound: NaSi2Ir2
Source: Alexandria
Functional: GGA-PBEsol
Structure: relaxed

Values from the calculation:
Crystal system: tetragonal
Formation energy from raw total energies (eV per atom): -0.59
Total DFT energy (no corrections) (eV per atom): -7.0948
N(E_F) (states/eV/cell): 4.557

Cell and atoms, written as CIF:
```
data_NaSi2Ir2
_chemical_formula_sum 'Na2 Si4 Ir4'
_cell_length_a 4.059
_cell_length_b 4.059
_cell_length_c 9.800
_cell_angle_alpha 90.00
_cell_angle_beta 90.00
_cell_angle_gamma 90.00
_space_group_name_H-M_alt 'I 4/m m m'
_space_group_IT_number 139
_space_group_name_Hall '-I 4 2'
loop_
_atom_site_label
_atom_site_fract_x
_atom_site_fract_y
_atom_site_fract_z
_atom_site_occupancy
Na1 0.000 0.000 0.000 1
Si1 0.000 0.000 0.375 1
Ir1 0.000 0.500 0.250 1
```


(2)
Compound: NaSn2Ir2
Source: Alexandria
Functional: GGA-PBEsol
Structure: relaxed

Values from the calculation:
Crystal system: tetragonal
Total DFT energy (no corrections) (eV per atom): -6.0630
Energy of formation (eV per formula unit): -0.75
N(E_F) (states/eV/cell): 3.243

Cell and atoms, written as CIF:
```
data_NaSn2Ir2
_chemical_formula_sum 'Na2 Sn4 Ir4'
_cell_length_a 7.867
_cell_length_b 7.867
_cell_length_c 2.952
_cell_angle_alpha 90.00
_cell_angle_beta 90.00
_cell_angle_gamma 90.00
_space_group_name_H-M_alt 'P 4/m b m'
_space_group_IT_number 127
_space_group_name_Hall '-P 4 2ab'
loop_
_atom_site_label
_atom_site_fract_x
_atom_site_fract_y
_atom_site_fract_z
_atom_site_occupancy
Na1 0.000 0.000 0.000 1
Sn1 0.152 0.348 0.000 1
Ir1 0.143 0.643 0.500 1
```


(3)
Compound: NaSr2Ir2
Source: Alexandria
Functional: GGA-PBEsol
Structure: relaxed

Values from the calculation:
Crystal system: tetragonal
Total DFT energy (no corrections) (eV per atom): -4.5095
Energy of formation (eV per formula unit): 2.18
N(E_F) (states/eV/cell): 6.865

Cell and atoms, written as CIF:
```
data_NaSr2Ir2
_chemical_formula_sum 'Na2 Sr4 Ir4'
_cell_length_a 5.692
_cell_length_b 5.692
_cell_length_c 8.679
_cell_angle_alpha 90.00
_cell_angle_beta 90.00
_cell_angle_gamma 90.00
_space_group_name_H-M_alt 'I 4/m m m'
_space_group_IT_number 139
_space_group_name_Hall '-I 4 2'
loop_
_atom_site_label
_atom_site_fract_x
_atom_site_fract_y
_atom_site_fract_z
_atom_site_occupancy
Na1 0.000 0.000 0.000 1
Sr1 0.000 0.500 0.250 1
Ir1 0.000 0.000 0.361 1
```